1.
Crystalline Bi2TeHPd6 at its relaxed geometry. Source: the Alexandria database, functional PBE-GGA.

Properties
For the electronic total energy, the calculation gives -4.537 eV/atom. For the calculated density, the calculation gives 9.9 g/cm³.

a b c (Å): 4.881 4.881 8.348
angles (deg): 90.00 90.00 90.00
Space group P4/mmm (No. 123)
Asymmetric unit:
Bi 0.000 0.000 0.206 x2
Te 0.500 0.500 0.500 x1
H 0.500 0.500 0.000 x1
Pd 0.000 0.500 0.000 x2
Pd 0.000 0.500 0.500 x2
Pd 0.500 0.500 0.196 x2


2.
Crystalline Tb3Ce2SmN6 at its relaxed geometry. Source: the Alexandria database, functional PBE-GGA.

Properties
For the electronic total energy, the calculation gives -8.288 eV/atom. Its formation energy from raw total energies is -153.0 kJ/mol of atoms. For the calculated density, the calculation gives 8.8 g/cm³.

a b c (Å): 6.119 10.602 6.116
angles (deg): 90.00 109.48 90.00
Space group C2/m (No. 12)
Asymmetric unit:
Tb 0.000 0.000 0.000 x2
Tb 0.000 0.333 0.000 x4
Ce 0.000 0.167 0.500 x4
Sm 0.000 0.500 0.500 x2
N 0.244 0.000 0.751 x4
N 0.247 0.170 0.250 x8


3.
Crystalline Na2CrPd at its relaxed geometry. Source: the Alexandria database, functional PBE-GGA.

Properties
For the electronic total energy, the calculation gives -3.793 eV/atom. The value obtained for the formation energy is 0.5711 eV per atom. Its energy above the most stable polymorph in this dataset is 0.28 eV/f.u. For the calculated density, the calculation gives 3.7 g/cm³.

a b c (Å): 8.169 8.169 5.472
angles (deg): 90.00 90.00 90.00
Space group I-42d (No. 122)
Asymmetric unit:
Na 0.219 0.250 0.125 x8
Cr 0.000 0.000 0.500 x4
Pd 0.000 0.000 0.000 x4


4.
Crystalline TlGeBr2Cl at its relaxed geometry. Source: the Alexandria database, functional PBE-GGA.

Properties
For the electronic total energy, the calculation gives -3.184 eV/atom. Its formation energy from raw total energies is -72.2 kJ/mol of atoms. Its energy above the most stable polymorph in this dataset is 0.00 eV/f.u. For the calculated density, the calculation gives 4.8 g/cm³.

a b c (Å): 7.761 7.761 10.885
angles (deg): 90.00 90.00 90.00
Space group I4cm (No. 108)
Asymmetric unit:
Tl 0.000 0.500 0.000 x4
Ge 0.000 0.000 0.237 x4
Br 0.192 0.308 0.252 x8
Cl 0.000 0.000 0.020 x4


5.
Crystalline Y2Ga7Pd12 at its relaxed geometry. Source: the Alexandria database, functional PBE-GGA.

Properties
For the electronic total energy, the calculation gives -5.310 eV/atom. The value obtained for the formation energy is -0.7180 eV per atom. For the calculated density, the calculation gives 9.1 g/cm³.

a b c (Å): 10.2898 10.2898 3.8849
angles (deg): 90.00 90.00 120.00
Space group P-3 (No. 147)
Asymmetric unit:
Y 0.3333 0.6667 0.2433 x2
Ga 0.0000 0.0000 0.5000 x1
Ga 0.1151 0.7111 0.7462 x6
Pd 0.0652 0.4449 0.7507 x6
Pd 0.1167 0.2600 0.2447 x6